Record 1
Compound: Lu2Al3Si
Source: the Open Quantum Materials Database
Functional: PBE
Structure: relaxed

## Properties
raw total energy: -4.744 eV/atom
space group: No. 194
crystal system: hexagonal
M_tot: 0.0 μB per formula unit

a = 5.3469 Å, b = 5.3469 Å, c = 9.0988 Å
α = 90.00°, β = 90.00°, γ = 120.00°
With the nearest neighbours (Å) after each atom.
Atoms (fractional coordinates):
Al (0.6627, 0.8314, 0.7500)  4 Al 2.64-2.71, 2 Si 2.76
Al (0.8314, 0.6627, 0.2500)  4 Al 2.64-2.71, 2 Si 2.76
Al (0.3373, 0.1686, 0.2500)  4 Al 2.64-2.71, 2 Si 2.76
Al (0.8314, 0.1686, 0.2500)  4 Al 2.64-2.71, 2 Si 2.76
Al (0.1686, 0.3373, 0.7500)  4 Al 2.64-2.71, 2 Si 2.76
Al (0.1686, 0.8314, 0.7500)  4 Al 2.64-2.71, 2 Si 2.76
Lu (0.3333, 0.6667, 0.0701)  9 Al 3.13-3.29, 3 Si 3.15, 4 Lu 3.27-3.34
Lu (0.6667, 0.3333, 0.9299)  9 Al 3.13-3.29, 3 Si 3.15, 4 Lu 3.27-3.34
Lu (0.6667, 0.3333, 0.5701)  9 Al 3.13-3.29, 3 Si 3.15, 4 Lu 3.27-3.34
Lu (0.3333, 0.6667, 0.4299)  9 Al 3.13-3.29, 3 Si 3.15, 4 Lu 3.27-3.34
Si (0.0000, 0.0000, 0.5000)  6 Al 2.76
Si (0.0000, 0.0000, 0.0000)  6 Al 2.76

Record 2
Compound: SmLuAlTe3
Source: the Open Quantum Materials Database
Functional: PBE
Structure: relaxed

## Properties
raw total energy: -4.616 eV/atom
space group: No. 63
crystal system: orthorhombic
M_tot: 0.0 μB per formula unit

a = 7.9058 Å, b = 7.9058 Å, c = 10.4504 Å
α = 90.00°, β = 90.00°, γ = 149.80°
With the nearest neighbours (Å) after each atom.
Atoms (fractional coordinates):
Lu (0.5000, 0.5000, 0.0000)  6 Te 3.10-3.17, 4 Al 3.35
Lu (0.5000, 0.5000, 0.5000)  6 Te 3.10-3.17, 4 Al 3.35
Sm (0.7175, 0.2825, 0.2500)  6 Te 3.18-3.25
Sm (0.2825, 0.7175, 0.7500)  6 Te 3.18-3.25
Te (0.8507, 0.1493, 0.9590)  1 Al 2.91, 2 Lu 3.10, 2 Sm 3.18
Te (0.1493, 0.8507, 0.0410)  1 Al 2.91, 2 Lu 3.10, 2 Sm 3.18
Te (0.8507, 0.1493, 0.5410)  1 Al 2.91, 2 Lu 3.10, 2 Sm 3.18
Te (0.3818, 0.6182, 0.2500)  2 Al 2.99, 2 Lu 3.17, 2 Sm 3.25
Te (0.6182, 0.3818, 0.7500)  2 Al 2.99, 2 Lu 3.17, 2 Sm 3.25
Te (0.1493, 0.8507, 0.4590)  1 Al 2.91, 2 Lu 3.10, 2 Sm 3.18
Al (0.9762, 0.0238, 0.7500)  4 Te 2.91-2.99
Al (0.0238, 0.9762, 0.2500)  4 Te 2.91-2.99

Record 3
Compound: Lu2TaAl
Source: the Open Quantum Materials Database
Functional: PBE
Structure: relaxed

## Properties
raw total energy: -5.993 eV/atom
space group: No. 216
crystal system: cubic
M_tot: 0.0 μB per formula unit

a = 4.9411 Å, b = 4.9411 Å, c = 4.9411 Å
α = 60.00°, β = 60.00°, γ = 60.00°
With the nearest neighbours (Å) after each atom.
Atoms (fractional coordinates):
Al (0.5000, 0.5000, 0.5000)  4 Ta 3.03, 4 Lu 3.03
Lu (0.0000, 0.0000, 0.0000)  4 Ta 3.03, 4 Lu 3.03
Lu (0.7500, 0.7500, 0.7500)  4 Lu 3.03, 4 Al 3.03
Ta (0.2500, 0.2500, 0.2500)  4 Al 3.03, 4 Lu 3.03

Record 4
Compound: TbLuAl
Source: the Open Quantum Materials Database
Functional: PBE
Structure: relaxed

## Properties
raw total energy: -3.789 eV/atom
space group: No. 216
crystal system: cubic
M_tot: 0.1 μB per formula unit

a = 5.0277 Å, b = 5.0277 Å, c = 5.0277 Å
α = 60.00°, β = 60.00°, γ = 60.00°
With the nearest neighbours (Å) after each atom.
Atoms (fractional coordinates):
Tb (0.7500, 0.7500, 0.7500)  4 Lu 3.08
Lu (0.0000, 0.0000, 0.0000)  4 Tb 3.08, 4 Al 3.08
Al (0.2500, 0.2500, 0.2500)  4 Lu 3.08